(one)
First-principles (PBE) data for a relaxed structure of TbEr2Tl4, as listed in Alexandria via LeMat-Bulk.

a = 6.4589 Å, b = 6.4589 Å, c = 6.4589 Å
α = 110.19°, β = 109.11°, γ = 109.11°
Last column: nearest neighbours and their distance in Å.
Sites, in units of the cell vectors:
Tb 0.0000 0.0000 0.0000  8 Tl 3.23
Er 0.5000 0.5000 0.0000  8 Tl 3.23
Er 0.5000 0.0000 0.5000  8 Tl 3.23
Tl 0.5000 0.0000 0.0000  4 Er 3.23, 2 Tb 3.23
Tl 0.5000 0.5000 0.5000  2 Tb 3.23, 4 Er 3.23
Tl 0.0000 0.0000 0.5000  4 Er 3.23, 2 Tb 3.23
Tl 0.0000 0.5000 0.0000  4 Er 3.23, 2 Tb 3.23

=====

(two)
First-principles (PBE) data for a relaxed structure of TbEr2Tl4, as listed in Alexandria via LeMat-Bulk.

a = 4.8708 Å, b = 4.8708 Å, c = 10.4368 Å
α = 76.51°, β = 76.51°, γ = 60.00°
Last column: nearest neighbours and their distance in Å.
Sites, in units of the cell vectors:
Tb 0.0000 0.0000 0.0000  6 Tl 3.18
Er 0.1296 0.1296 0.6112  4 Tl 3.04-3.39
Er 0.8704 0.8704 0.3888  4 Tl 3.04-3.39
Tl 0.3826 0.3826 0.8522  3 Tl 3.08, 3 Tb 3.18
Tl 0.2421 0.2421 0.2737  4 Er 3.04-3.39, 3 Tl 3.08
Tl 0.7579 0.7579 0.7263  4 Er 3.04-3.39, 3 Tl 3.08
Tl 0.6174 0.6174 0.1478  3 Tl 3.08, 3 Tb 3.18

=====

Question: which arrangement is favored energetically? Ranking from most to least stable: (one), (two).

=====

(one)
First-principles (PBE) data for a relaxed structure of Tb3Er6Tl, as listed in Alexandria via LeMat-Bulk.

a = 6.1568 Å, b = 10.9035 Å, c = 10.9035 Å
α = 122.48°, β = 90.00°, γ = 90.00°
Last column: nearest neighbours and their distance in Å.
Sites, in units of the cell vectors:
Tb 0.4159 0.9530 0.7128  2 Er 3.22-3.32, 1 Tl 3.25, 1 Tb 3.51
Tb 0.9159 0.7128 0.9530  2 Er 3.22-3.32, 1 Tl 3.25, 1 Tb 3.51
Tb 0.0758 0.3956 0.6044  1 Tl 3.08, 3 Er 3.30-3.36
Tb 0.5758 0.6044 0.3956  1 Tl 3.08, 3 Er 3.30-3.36
Tb 0.9159 0.0470 0.2872  2 Er 3.22-3.32, 1 Tl 3.25, 1 Tb 3.51
Tb 0.4159 0.2872 0.0470  2 Er 3.22-3.32, 1 Tl 3.25, 1 Tb 3.51
Er 0.0490 0.7093 0.6271  2 Tb 3.22-3.30, 4 Er 3.33-3.53
Er 0.5490 0.6271 0.7093  2 Tb 3.22-3.30, 4 Er 3.33-3.53
Er 0.3842 0.5684 0.9646  2 Tl 3.07-3.36, 3 Er 3.25-3.33, 1 Tb 3.32
Er 0.8842 0.9646 0.5684  2 Tl 3.07-3.36, 3 Er 3.25-3.33, 1 Tb 3.32
Er 0.4040 0.9418 0.0582  6 Er 3.61-3.80, 6 Tb 3.67-3.83, 1 Tl 3.76
Er 0.6479 0.2868 0.7132  2 Tl 3.16-3.29, 4 Er 3.25-3.32, 1 Tb 3.36
Er 0.1479 0.7132 0.2868  2 Tl 3.16-3.29, 4 Er 3.25-3.32, 1 Tb 3.36
Er 0.9040 0.0582 0.9418  6 Er 3.61-3.80, 6 Tb 3.67-3.83, 1 Tl 3.76
Er 0.3842 0.0354 0.4316  2 Tl 3.07-3.36, 3 Er 3.25-3.33, 1 Tb 3.32
Er 0.8842 0.4316 0.0354  2 Tl 3.07-3.36, 3 Er 3.25-3.33, 1 Tb 3.32
Er 0.0490 0.3729 0.2907  2 Tb 3.22-3.30, 4 Er 3.33-3.53
Er 0.5490 0.2907 0.3729  2 Tb 3.22-3.30, 4 Er 3.33-3.53
Tl 0.1594 0.2366 0.7634  6 Er 3.07-3.36, 3 Tb 3.08-3.25
Tl 0.6594 0.7634 0.2366  6 Er 3.07-3.36, 3 Tb 3.08-3.25

=====

(two)
First-principles (PBE) data for a relaxed structure of Tb3Er6Tl, as listed in Alexandria via LeMat-Bulk.

a = 3.4784 Å, b = 12.6568 Å, c = 14.1271 Å
α = 100.63°, β = 90.00°, γ = 90.00°
Last column: nearest neighbours and their distance in Å.
Sites, in units of the cell vectors:
Tb 0.7500 0.4226 0.9030  6 Er 3.27-3.51, 4 Tb 3.48-3.52
Tb 0.2500 0.5774 0.0970  6 Er 3.27-3.51, 4 Tb 3.48-3.52
Tb 0.7500 0.6299 0.5039  5 Er 3.20-3.44, 2 Tb 3.48
Tb 0.2500 0.3701 0.4961  5 Er 3.20-3.44, 2 Tb 3.48
Tb 0.7500 0.0745 0.1007  6 Er 3.33-3.59, 4 Tb 3.48-3.56, 2 Tl 3.53
Tb 0.2500 0.9255 0.8993  6 Er 3.33-3.59, 4 Tb 3.48-3.56, 2 Tl 3.53
Er 0.7500 0.4895 0.6904  4 Tb 3.27-3.44, 7 Er 3.48-3.58
Er 0.2500 0.5105 0.3096  4 Tb 3.27-3.44, 7 Er 3.48-3.58
Er 0.7500 0.8080 0.0764  5 Tb 3.33-3.59, 5 Er 3.48-3.50, 2 Tl 3.61
Er 0.2500 0.1920 0.9236  5 Tb 3.33-3.59, 5 Er 3.48-3.50, 2 Tl 3.61
Er 0.7500 0.3419 0.1177  4 Tb 3.35-3.51, 8 Er 3.47-3.58
Er 0.2500 0.6581 0.8823  4 Tb 3.35-3.51, 8 Er 3.47-3.58
Er 0.7500 0.7522 0.3089  2 Tl 3.31, 1 Tb 3.40, 5 Er 3.48-3.52
Er 0.2500 0.2478 0.6911  2 Tl 3.31, 1 Tb 3.40, 5 Er 3.48-3.52
Er 0.7500 0.1142 0.4665  2 Tl 3.44, 8 Er 3.48-3.74, 2 Tb 3.63
Er 0.2500 0.8858 0.5335  2 Tl 3.44, 8 Er 3.48-3.74, 2 Tb 3.63
Er 0.7500 0.7743 0.7152  3 Tb 3.20-3.41, 1 Tl 3.28, 5 Er 3.47-3.56
Er 0.2500 0.2257 0.2848  3 Tb 3.20-3.41, 1 Tl 3.28, 5 Er 3.47-3.56
Tl 0.7500 0.0344 0.7220  7 Er 3.28-3.61, 2 Tl 3.48, 2 Tb 3.53
Tl 0.2500 0.9656 0.2780  7 Er 3.28-3.61, 2 Tl 3.48, 2 Tb 3.53

=====

Question: which arrangement is favored energetically? Ranking from most to least stable: (two), (one).

=====

(one)
First-principles (PBE) data for a relaxed structure of Tb3Er2Tl2, as listed in Alexandria via LeMat-Bulk.

a = 4.9913 Å, b = 3.4972 Å, c = 11.9655 Å
α = 90.00°, β = 77.96°, γ = 90.00°
Last column: nearest neighbours and their distance in Å.
Sites, in units of the cell vectors:
Tb 0.8533 0.0000 0.2934  6 Er 3.43-3.70, 3 Tb 3.43-3.50, 4 Tl 3.50
Tb 0.0000 0.0000 0.0000  4 Tb 3.43-3.50, 8 Tl 3.49
Tb 0.1467 0.0000 0.7066  6 Er 3.43-3.70, 3 Tb 3.43-3.50, 4 Tl 3.50
Er 0.7141 0.5000 0.5718  2 Er 3.01, 1 Tl 3.30
Er 0.2859 0.5000 0.4282  2 Er 3.01, 1 Tl 3.30
Tl 0.5730 0.5000 0.8540  1 Er 3.30, 3 Tl 3.42-3.50, 8 Tb 3.49-3.50
Tl 0.4270 0.5000 0.1460  1 Er 3.30, 3 Tl 3.42-3.50, 8 Tb 3.49-3.50

=====

(two)
First-principles (PBE) data for a relaxed structure of Tb3Er2Tl2, as listed in Alexandria via LeMat-Bulk.

a = 5.4015 Å, b = 5.3974 Å, c = 8.6028 Å
α = 108.35°, β = 90.00°, γ = 120.03°
Last column: nearest neighbours and their distance in Å.
Sites, in units of the cell vectors:
Tb 0.5000 0.0000 0.0000  6 Tl 3.33, 2 Tb 3.73
Tb 0.6550 0.3099 0.4649  1 Tl 3.11, 3 Tb 3.17, 3 Er 3.46
Tb 0.3450 0.6901 0.5351  1 Tl 3.11, 3 Tb 3.17, 3 Er 3.46
Er 0.9260 0.8520 0.2785  4 Tl 3.29-3.41, 3 Tb 3.46, 1 Er 3.55
Er 0.0740 0.1480 0.7215  4 Tl 3.29-3.41, 3 Tb 3.46, 1 Er 3.55
Tl 0.7845 0.5690 0.8531  4 Tb 3.11-3.33, 4 Er 3.29-3.41
Tl 0.2155 0.4310 0.1469  4 Tb 3.11-3.33, 4 Er 3.29-3.41

=====

Question: which arrangement is favored energetically? Ranking from most to least stable: (two), (one).